1.
Here is an optimized crystal structure of Cu3Au2 from Alexandria via LeMat-Bulk. Energies are from GGA-PBEsol.

Properties
- Excess energy over the best structure of this formula in the dataset: 0.19 kcal/mol of atoms
- Formation enthalpy at 0 K: -0.018 eV per atom
- Calculated total energy: -20.9 eV/cell
- Spin magnetization: 0.00 μB/cell

Cell: 4.737 4.737 6.669 Å, 122.98 122.98 33.73°
Fractional positions:
Cu 0.000 0.000 0.000
Cu 0.394 0.394 0.614
Cu 0.606 0.606 0.386
Au 0.190 0.190 0.778
Au 0.810 0.810 0.222

2.
Here is an optimized crystal structure of Sr2CrRuPt from Alexandria via LeMat-Bulk. Energies are from GGA-PBEsol.

Properties
- Formation enthalpy at 0 K: 1.238 eV per atom
- Calculated total energy: -24.9 eV/cell
- Spin magnetization: 5.57 μB/cell

Cell: 5.648 5.648 4.449 Å, 90.00 90.00 90.00°
Fractional positions:
Sr 0.000 0.500 0.000
Sr 0.500 0.000 0.000
Cr 0.000 0.000 0.000
Ru 0.500 0.500 0.500
Pt 0.000 0.000 0.500

3.
Here is an optimized crystal structure of La6MnSb15 from Alexandria via LeMat-Bulk. Energies are from GGA-PBEsol.

Properties
- E_form (uncorrected): -0.729 eV per atom
- Calculated total energy: -126.2 eV/cell
- Spin magnetization: 3.32 μB/cell

Cell: 12.623 12.623 12.623 Å, 160.58 77.82 105.54°
Fractional positions:
La 0.134 0.000 0.134
La 0.142 0.276 0.866
La 0.410 0.276 0.134
La 0.464 0.140 0.324
La 0.816 0.140 0.676
La 0.866 0.000 0.866
Mn 0.419 0.419 0.000
Sb 0.050 0.351 0.699
Sb 0.133 0.133 0.000
Sb 0.214 0.920 0.294
Sb 0.307 0.807 0.500
Sb 0.338 0.638 0.700
Sb 0.378 0.496 0.882
Sb 0.532 0.032 0.500
Sb 0.613 0.496 0.118
Sb 0.626 0.920 0.706
Sb 0.652 0.351 0.301
Sb 0.683 0.785 0.898
Sb 0.725 0.225 0.500
Sb 0.887 0.785 0.102
Sb 0.939 0.638 0.300
Sb 0.996 0.496 0.500

What did the first record say?
Here is an optimized crystal structure of Cu3Au2 from Alexandria via LeMat-Bulk. Energies are from GGA-PBEsol.

Properties
- Excess energy over the best structure of this formula in the dataset: 0.19 kcal/mol of atoms
- Formation enthalpy at 0 K: -0.018 eV per atom
- Calculated total energy: -20.9 eV/cell
- Spin magnetization: 0.00 μB/cell

Cell: 4.737 4.737 6.669 Å, 122.98 122.98 33.73°
Fractional positions:
Cu 0.000 0.000 0.000
Cu 0.394 0.394 0.614
Cu 0.606 0.606 0.386
Au 0.190 0.190 0.778
Au 0.810 0.810 0.222